# ReAg2Ru (GGA-PBE, relaxed)
# Calculated formation energy ... 1.010 eV per atom
# Offset from the most stable computed form ... 761 meV/atom
# SG ... P4/mmm (123)
# Crystal system ... tetragonal
# Magnetic moment ... 1.1 Bohr magnetons per cell
data_ReAg2Ru
_chemical_formula_sum 'Re1 Ag2 Ru1'
_cell_length_a 4.904
_cell_length_b 4.904
_cell_length_c 2.694
_cell_angle_alpha 90.00
_cell_angle_beta 90.00
_cell_angle_gamma 90.00
_space_group_name_H-M_alt 'P 1'
_space_group_IT_number 1
_space_group_name_Hall 'P 1'
loop_
_atom_site_label
_atom_site_type_symbol
_atom_site_fract_x
_atom_site_fract_y
_atom_site_fract_z
_atom_site_occupancy
Re1 Re 0.000 0.000 0.000 1
Ag1 Ag 0.000 0.500 0.500 1
Ag2 Ag 0.500 0.000 0.500 1
Ru1 Ru 0.500 0.500 0.000 1


# ScCdNi (GGA-PBE, relaxed)
# Calculated formation energy ... -0.307 eV per atom
# SG ... P6_3/mmc (194)
# Crystal system ... hexagonal
# Magnetic moment ... 0.0 Bohr magnetons per cell
data_ScCdNi
_chemical_formula_sum 'Sc2 Cd2 Ni2'
_cell_length_a 4.653
_cell_length_b 4.653
_cell_length_c 5.622
_cell_angle_alpha 90.00
_cell_angle_beta 90.00
_cell_angle_gamma 120.00
_space_group_name_H-M_alt 'P 1'
_space_group_IT_number 1
_space_group_name_Hall 'P 1'
loop_
_atom_site_label
_atom_site_type_symbol
_atom_site_fract_x
_atom_site_fract_y
_atom_site_fract_z
_atom_site_occupancy
Sc1 Sc 0.333 0.667 0.250 1
Sc2 Sc 0.667 0.333 0.750 1
Cd1 Cd 0.000 0.000 0.000 1
Cd2 Cd 0.000 0.000 0.500 1
Ni1 Ni 0.333 0.667 0.750 1
Ni2 Ni 0.667 0.333 0.250 1


# Re2BiAu (GGA-PBE, relaxed)
# Calculated formation energy ... 0.886 eV per atom
# Offset from the most stable computed form ... 0 meV/atom
# SG ... I-42d (122)
# Crystal system ... tetragonal
# Magnetic moment ... 0.0 Bohr magnetons per cell
data_Re2BiAu
_chemical_formula_sum 'Re4 Bi2 Au2'
_cell_length_a 10.341
_cell_length_b 10.341
_cell_length_c 10.341
_cell_angle_alpha 157.27
_cell_angle_beta 157.27
_cell_angle_gamma 32.37
_space_group_name_H-M_alt 'P 1'
_space_group_IT_number 1
_space_group_name_Hall 'P 1'
loop_
_atom_site_label
_atom_site_type_symbol
_atom_site_fract_x
_atom_site_fract_y
_atom_site_fract_z
_atom_site_occupancy
Re1 Re 0.043 0.625 0.918 1
Re2 Re 0.375 0.293 0.418 1
Re3 Re 0.707 0.125 0.082 1
Re4 Re 0.875 0.957 0.582 1
Bi1 Bi 0.250 0.750 0.500 1
Bi2 Bi 0.500 0.500 0.000 1
Au1 Au 0.000 0.000 0.000 1
Au2 Au 0.750 0.250 0.500 1


# Ag3Hg2Pd8 (GGA-PBE, relaxed)
# Calculated formation energy ... 0.066 eV per atom
# Offset from the most stable computed form ... 31 meV/atom
# SG ... C2/m (12)
# Crystal system ... monoclinic
# Magnetic moment ... 0.0 Bohr magnetons per cell
data_Ag3Hg2Pd8
_chemical_formula_sum 'Ag3 Hg2 Pd8'
_cell_length_a 7.595
_cell_length_b 7.595
_cell_length_c 4.728
_cell_angle_alpha 94.71
_cell_angle_beta 94.71
_cell_angle_gamma 58.40
_space_group_name_H-M_alt 'P 1'
_space_group_IT_number 1
_space_group_name_Hall 'P 1'
loop_
_atom_site_label
_atom_site_type_symbol
_atom_site_fract_x
_atom_site_fract_y
_atom_site_fract_z
_atom_site_occupancy
Ag1 Ag 0.000 0.000 0.000 1
Ag2 Ag 0.189 0.811 0.500 1
Ag3 Ag 0.811 0.189 0.500 1
Hg1 Hg 0.344 0.344 0.233 1
Hg2 Hg 0.656 0.656 0.767 1
Pd1 Pd 0.031 0.620 0.803 1
Pd2 Pd 0.190 0.190 0.701 1
Pd3 Pd 0.380 0.969 0.197 1
Pd4 Pd 0.445 0.445 0.752 1
Pd5 Pd 0.555 0.555 0.248 1
Pd6 Pd 0.620 0.031 0.803 1
Pd7 Pd 0.810 0.810 0.299 1
Pd8 Pd 0.969 0.380 0.197 1


# KGa2Au (GGA-PBE, relaxed)
# Calculated formation energy ... -0.237 eV per atom
# SG ... R-3m (166)
# Crystal system ... trigonal
# Magnetic moment ... 0.0 Bohr magnetons per cell
data_KGa2Au
_chemical_formula_sum 'K1 Ga2 Au1'
_cell_length_a 6.650
_cell_length_b 6.650
_cell_length_c 6.650
_cell_angle_alpha 39.54
_cell_angle_beta 39.54
_cell_angle_gamma 39.54
_space_group_name_H-M_alt 'P 1'
_space_group_IT_number 1
_space_group_name_Hall 'P 1'
loop_
_atom_site_label
_atom_site_type_symbol
_atom_site_fract_x
_atom_site_fract_y
_atom_site_fract_z
_atom_site_occupancy
K1 K 0.000 0.000 0.000 1
Ga1 Ga 0.199 0.199 0.199 1
Ga2 Ga 0.801 0.801 0.801 1
Au1 Au 0.500 0.500 0.500 1


# TcSnSbBrF (GGA-PBE, relaxed)
# ΔE_f (raw) ... -0.489 eV/atom
# Offset from the most stable computed form ... 100 meV/atom
# SG ... P1 (1)
# Crystal system ... triclinic
# Magnetic moment ... 0.0 Bohr magnetons per cell
data_TcSnSbBrF
_chemical_formula_sum 'Tc1 Sn1 Sb1 Br1 F1'
_cell_length_a 3.488
_cell_length_b 4.960
_cell_length_c 7.956
_cell_angle_alpha 103.23
_cell_angle_beta 90.53
_cell_angle_gamma 110.58
_space_group_name_H-M_alt 'P 1'
_space_group_IT_number 1
_space_group_name_Hall 'P 1'
loop_
_atom_site_label
_atom_site_type_symbol
_atom_site_fract_x
_atom_site_fract_y
_atom_site_fract_z
_atom_site_occupancy
Tc1 Tc 0.000 0.000 0.000 1
Sn1 Sn 0.697 0.398 0.919 1
Sb1 Sb 0.456 0.902 0.234 1
Br1 Br 0.840 0.693 0.670 1
F1 F 0.215 0.418 0.226 1


# TbPm2P2N6 (GGA-PBE, relaxed)
# ΔE_f (raw) ... -1.028 eV/atom
# SG ... C2/m (12)
# Crystal system ... monoclinic
# Magnetic moment ... 0.0 Bohr magnetons per cell
data_TbPm2P2N6
_chemical_formula_sum 'Tb1 Pm2 P2 N6'
_cell_length_a 5.555
_cell_length_b 5.555
_cell_length_c 6.574
_cell_angle_alpha 115.15
_cell_angle_beta 115.15
_cell_angle_gamma 60.01
_space_group_name_H-M_alt 'P 1'
_space_group_IT_number 1
_space_group_name_Hall 'P 1'
loop_
_atom_site_label
_atom_site_type_symbol
_atom_site_fract_x
_atom_site_fract_y
_atom_site_fract_z
_atom_site_occupancy
Tb1 Tb 0.000 0.000 0.000 1
Pm1 Pm 0.204 0.204 0.678 1
Pm2 Pm 0.796 0.796 0.322 1
P1 P 0.458 0.458 0.233 1
P2 P 0.542 0.542 0.767 1
N1 N 0.199 0.689 0.675 1
N2 N 0.270 0.270 0.120 1
N3 N 0.311 0.801 0.325 1
N4 N 0.689 0.199 0.675 1
N5 N 0.730 0.730 0.880 1
N6 N 0.801 0.311 0.325 1